P) Density functional theory data (PBE-GGA) for a geometry-optimized CuPb2W structure.

Cell and atoms, written as POSCAR:
```
CuPb2W
1.0
2.1601 -2.1922 0.0000
2.1601 2.1922 0.0000
0.0000 0.0000 9.5973
Cu Pb W
1 2 1
Direct
0.0000 0.0000 0.0000
0.0000 0.0000 0.3974
0.5000 0.5000 0.7885
0.5000 0.5000 0.1574
```

Total magnetic moment ... 0.00 Bohr magnetons per cell

***

Q) Density functional theory data (PBE-GGA) for a geometry-optimized CuPb2W structure.

Cell and atoms, written as POSCAR:
```
CuPb2W
1.0
-2.2055 2.2055 4.2109
2.2055 -2.2055 4.2109
2.2055 2.2055 -4.2109
Cu Pb W
1 2 1
Direct
0.0000 0.0000 0.0000
0.2500 0.7500 0.5000
0.7500 0.2500 0.5000
0.5000 0.5000 0.0000
```

Total magnetic moment ... 0.73 Bohr magnetons per cell

***

Relative energies, in kJ/mol of atoms, with the most stable structure set to zero: P) 0.0; Q) 41.2.

***

P) Density functional theory data (PBE-GGA) for a geometry-optimized Re2Os structure.

Cell and atoms, written as POSCAR:
```
Re2Os
1.0
5.0294 -1.3849 0.0000
5.0294 1.3849 0.0000
-1.5770 0.0000 6.3380
Re Os
4 2
Direct
0.0000 0.0000 0.0000
0.0570 0.0570 0.6127
0.3881 0.3881 0.2820
0.7243 0.7243 0.9461
0.3331 0.3331 0.6689
0.6680 0.6680 0.3352
```

Total magnetic moment ... 0.00 Bohr magnetons per cell

***

Q) Density functional theory data (PBE-GGA) for a geometry-optimized Re2Os structure.

Cell and atoms, written as POSCAR:
```
Re2Os
1.0
2.2295 -7.2135 0.0000
2.2295 7.2135 0.0000
0.0000 0.0000 2.8406
Re Os
4 2
Direct
0.0000 0.0000 0.0000
0.1501 0.8499 0.5000
0.5000 0.5000 0.5000
0.8499 0.1501 0.5000
0.3099 0.6901 0.0000
0.6901 0.3099 0.0000
```

Total magnetic moment ... 0.00 Bohr magnetons per cell

***

Relative energies, in kJ/mol of atoms, with the most stable structure set to zero: P) 0.0; Q) 40.0.

***

P) Density functional theory data (PBE-GGA) for a geometry-optimized KTl2Cl structure.

Cell and atoms, written as POSCAR:
```
KTl2Cl
1.0
2.1157 -3.2803 0.0000
2.1157 3.2803 0.0000
0.0000 0.0000 10.5485
K Tl Cl
1 2 1
Direct
0.0000 0.0000 0.0000
0.5000 0.5000 0.2939
0.5000 0.5000 0.7061
0.0000 0.0000 0.5000
```

Total magnetic moment ... 0.00 Bohr magnetons per cell

***

Q) Density functional theory data (PBE-GGA) for a geometry-optimized KTl2Cl structure.

Cell and atoms, written as POSCAR:
```
KTl2Cl
1.0
4.3761 0.0000 0.0000
0.0000 4.4514 0.0000
0.0000 0.0000 7.8284
K Tl Cl
1 2 1
Direct
0.0000 0.0000 0.0000
0.0000 0.5000 0.5000
0.5000 0.0000 0.5000
0.5000 0.5000 0.0000
```

Total magnetic moment ... 0.00 Bohr magnetons per cell

***

Relative energies, in kJ/mol of atoms, with the most stable structure set to zero: P) 37.0; Q) 0.0.

***

P) Density functional theory data (PBE-GGA) for a geometry-optimized CsCd3Rh structure.

Cell and atoms, written as POSCAR:
```
CsCd3Rh
1.0
2.7059 -10.5066 0.0000
2.7059 10.5066 0.0000
0.0000 0.0000 5.5841
Cs Cd Rh
2 6 2
Direct
0.2005 0.7995 0.7500
0.7995 0.2005 0.2500
0.0000 0.0000 0.0000
0.0000 0.0000 0.5000
0.1504 0.3633 0.7500
0.3633 0.1504 0.2500
0.6367 0.8496 0.7500
0.8496 0.6367 0.2500
0.4875 0.5125 0.2500
0.5125 0.4875 0.7500
```

Total magnetic moment ... 0.66 Bohr magnetons per cell

***

Q) Density functional theory data (PBE-GGA) for a geometry-optimized CsCd3Rh structure.

Cell and atoms, written as POSCAR:
```
CsCd3Rh
1.0
3.9642 -6.7512 0.0000
3.9642 6.7512 0.0000
0.0000 0.0000 5.4111
Cs Cd Rh
2 6 2
Direct
0.0777 0.9223 0.7500
0.9223 0.0777 0.2500
0.0813 0.5708 0.2500
0.4292 0.9187 0.2500
0.5000 0.5000 0.0000
0.5000 0.5000 0.5000
0.5708 0.0813 0.7500
0.9187 0.4292 0.7500
0.3215 0.6785 0.7500
0.6785 0.3215 0.2500
```

Total magnetic moment ... 0.00 Bohr magnetons per cell

***

Relative energies, in kJ/mol of atoms, with the most stable structure set to zero: P) 4.9; Q) 0.0.

***

P) Density functional theory data (PBE-GGA) for a geometry-optimized SrIn2W structure.

Cell and atoms, written as POSCAR:
```
SrIn2W
1.0
3.1587 0.0000 0.0000
0.0000 3.1587 0.0000
0.0000 0.0000 9.3074
Sr In W
1 2 1
Direct
0.0000 0.0000 0.0000
0.5000 0.5000 0.2849
0.5000 0.5000 0.7151
0.0000 0.0000 0.5000
```

Total magnetic moment ... 0.31 Bohr magnetons per cell

***

Q) Density functional theory data (PBE-GGA) for a geometry-optimized SrIn2W structure.

Cell and atoms, written as POSCAR:
```
SrIn2W
1.0
2.0788 -2.3358 0.0000
2.0788 2.3358 0.0000
0.0000 0.0000 9.8663
Sr In W
1 2 1
Direct
0.0000 0.0000 0.0000
0.0000 0.0000 0.5372
0.5000 0.5000 0.2894
0.5000 0.5000 0.7450
```

Total magnetic moment ... 0.00 Bohr magnetons per cell

***

Relative energies, in kJ/mol of atoms, with the most stable structure set to zero: P) 0.0; Q) 24.0.

***

P) Density functional theory data (PBE-GGA) for a geometry-optimized FeHg2Rh structure.

Cell and atoms, written as POSCAR:
```
FeHg2Rh
1.0
4.1783 0.0000 0.0000
0.0000 4.1783 0.0000
0.0000 0.0000 3.9320
Fe Hg Rh
1 2 1
Direct
0.0000 0.0000 0.0000
0.0000 0.5000 0.5000
0.5000 0.0000 0.5000
0.5000 0.5000 0.0000
```

Total magnetic moment ... 3.07 Bohr magnetons per cell

***

Q) Density functional theory data (PBE-GGA) for a geometry-optimized FeHg2Rh structure.

Cell and atoms, written as POSCAR:
```
FeHg2Rh
1.0
1.5176 0.8762 9.3526
-1.5176 0.8762 9.3526
0.0000 -1.7523 9.3526
Fe Hg Rh
1 2 1
Direct
0.0000 0.0000 0.0000
0.5194 0.5194 0.5194
0.7481 0.7481 0.7481
0.2712 0.2712 0.2712
```

Total magnetic moment ... 4.12 Bohr magnetons per cell

***

Relative energies, in kJ/mol of atoms, with the most stable structure set to zero: P) 5.0; Q) 0.0.

***

P) Density functional theory data (PBE-GGA) for a geometry-optimized ZnW2Se structure.

Cell and atoms, written as POSCAR:
```
ZnW2Se
1.0
1.4691 0.8482 8.5376
-1.4691 0.8482 8.5376
0.0000 -1.6964 8.5376
Zn W Se
1 2 1
Direct
0.0000 0.0000 0.0000
0.2461 0.2461 0.2461
0.7539 0.7539 0.7539
0.5000 0.5000 0.5000
```

Total magnetic moment ... 0.00 Bohr magnetons per cell

***

Q) Density functional theory data (PBE-GGA) for a geometry-optimized ZnW2Se structure.

Cell and atoms, written as POSCAR:
```
ZnW2Se
1.0
0.0000 3.1292 3.1292
3.1292 0.0000 3.1292
3.1292 3.1292 0.0000
Zn W Se
1 2 1
Direct
0.0000 0.0000 0.0000
0.2500 0.2500 0.2500
0.7500 0.7500 0.7500
0.5000 0.5000 0.5000
```

Total magnetic moment ... 0.00 Bohr magnetons per cell

***

Relative energies, in kJ/mol of atoms, with the most stable structure set to zero: P) 0.0; Q) 18.8.